# 1
A plane-wave DFT calculation with PBE-GGA was carried out for a relaxed Ba2AgAs crystal.

It has space group I-42d (No. 122), with a = 7.542 Å, b = 7.542 Å, c = 15.220 Å, α = 90.00°, β = 90.00° and γ = 90.00°. The asymmetric unit holds Ba at (0.212, 0.250, 0.125), Ag at (0.000, 0.000, 0.500) and As at (0.000, 0.000, 0.000).

As for the energy of formation from the pure elements: -0.3809 eV/atom. As for the density of states at the Fermi level: 0.0 states/eV/f.u. The crystal system is tetragonal. The total energy comes out at -3.22 eV/atom.

# 2
A plane-wave DFT calculation with PBE-GGA was carried out for a relaxed ScAg2Pb crystal.

It has space group I4/mmm (No. 139), with a = 4.403 Å, b = 4.403 Å, c = 8.771 Å, α = 90.00°, β = 90.00° and γ = 90.00°. The asymmetric unit holds Sc at (0.000, 0.000, 0.000), Ag at (0.000, 0.500, 0.250) and Pb at (0.000, 0.000, 0.500).

As for the energy of formation from the pure elements: -0.1623 eV/atom. As for the density of states at the Fermi level: 1.7 states/eV/f.u. The crystal system is tetragonal. The total energy comes out at -4.10 eV/atom.

# 3
A plane-wave DFT calculation with PBE-GGA was carried out for a relaxed Eu2MgN crystal.

It has space group R-3m (No. 166, hexagonal axes), with a = 3.5473 Å, b = 3.5473 Å, c = 29.3557 Å, α = 90.00°, β = 90.00° and γ = 120.00°. The asymmetric unit holds Eu at (0.0000, 0.0000, 0.1190), Mg at (0.0000, 0.0000, 0.0000) and N at (0.0000, 0.0000, 0.5000).

As for the density of states at the Fermi level: 4.7 states/eV/f.u. The crystal system is trigonal. The total energy comes out at -8.08 eV/atom.

# 4
A plane-wave DFT calculation with PBE-GGA was carried out for a relaxed SmThInCu crystal.

It has space group F-43m (No. 216), with a = 7.483 Å, b = 7.483 Å, c = 7.483 Å, α = 90.00°, β = 90.00° and γ = 90.00°. The asymmetric unit holds Sm at (0.000, 0.000, 0.000), Th at (0.000, 0.000, 0.500), In at (0.250, 0.250, 0.250) and Cu at (0.250, 0.250, 0.750).

As for the energy of formation from the pure elements: -0.1496 eV/atom. As for the density of states at the Fermi level: 5.5 states/eV/f.u. The crystal system is cubic. The total energy comes out at -4.89 eV/atom.

# 5
A plane-wave DFT calculation with PBE-GGA was carried out for a relaxed Pu2CoSi4Ir3 crystal.

It has space group P-4m2 (No. 115), with a = 4.099 Å, b = 4.099 Å, c = 9.882 Å, α = 90.00°, β = 90.00° and γ = 90.00°. The asymmetric unit holds Pu at (0.000, 0.500, 0.250), Co at (0.000, 0.000, 0.500), Si at (0.000, 0.000, 0.000), Si at (0.000, 0.500, 0.625), Si at (0.500, 0.500, 0.000), Ir at (0.000, 0.500, 0.870) and Ir at (0.500, 0.500, 0.500).

As for the density of states at the Fermi level: 26.4 states/eV/f.u. The crystal system is tetragonal. The total energy comes out at -9.17 eV/atom.

# 6
A plane-wave DFT calculation with PBE-GGA was carried out for a relaxed Nd2HfTl3Te6 crystal.

It has space group C2/m (No. 12), with a = 7.650 Å, b = 13.218 Å, c = 8.624 Å, α = 90.00°, β = 107.17° and γ = 90.00°. The asymmetric unit holds Nd at (0.000, 0.165, 0.000), Hf at (0.000, 0.500, 0.000), Tl at (0.000, 0.000, 0.500), Tl at (0.000, 0.325, 0.500), Te at (0.225, 0.345, 0.213) and Te at (0.235, 0.500, 0.780).

As for the density of states at the Fermi level: 4.9 states/eV/f.u. The crystal system is monoclinic. The total energy comes out at -4.67 eV/atom.

# 7
A plane-wave DFT calculation with PBE-GGA was carried out for a relaxed AcTbHo5 crystal.

It has space group C2/c (No. 15), with a = 11.831 Å, b = 6.764 Å, c = 12.394 Å, α = 90.00°, β = 109.01° and γ = 90.00°. The asymmetric unit holds Ac at (0.250, 0.250, 0.000), Tb at (0.000, 0.026, 0.250), Ho at (0.000, 0.424, 0.750), Ho at (0.065, 0.270, 0.495) and Ho at (0.226, 0.349, 0.264).

As for the energy of formation from the pure elements: 0.1981 eV/atom. As for the density of states at the Fermi level: 9.7 states/eV/f.u. The crystal system is monoclinic. The total energy comes out at -4.32 eV/atom.

# 8
A plane-wave DFT calculation with PBE-GGA was carried out for a relaxed LiInSbS4 crystal.

It has space group Imma (No. 74), with a = 7.633 Å, b = 7.653 Å, c = 10.980 Å, α = 90.00°, β = 90.00° and γ = 90.00°. The asymmetric unit holds Li at (0.000, 0.250, 0.116), In at (0.000, 0.000, 0.500), Sb at (0.250, 0.250, 0.750), S at (0.000, 0.006, 0.744) and S at (0.236, 0.250, 0.509).

As for the density of states at the Fermi level: 2.8 states/eV/f.u. The crystal system is orthorhombic. The total energy comes out at -4.18 eV/atom.

# 9
A plane-wave DFT calculation with PBE-GGA was carried out for a relaxed Ba6Cd5Sn crystal.

It has space group Immm (No. 71), with a = 6.015 Å, b = 8.542 Å, c = 18.088 Å, α = 90.00°, β = 90.00° and γ = 90.00°. The asymmetric unit holds Ba at (0.000, 0.246, 0.000), Ba at (0.000, 0.252, 0.335), Cd at (0.000, 0.000, 0.170), Cd at (0.000, 0.000, 0.500), Cd at (0.000, 0.500, 0.167) and Sn at (0.000, 0.500, 0.500).

As for the energy of formation from the pure elements: -0.3823 eV/atom. As for the density of states at the Fermi level: 9.4 states/eV/f.u. The crystal system is orthorhombic. The total energy comes out at -2.06 eV/atom.

| no. | magnetic moment (μB/f.u.) |
| --- | --- |
| 1 | 0.00 |
| 2 | 0.00 |
| 3 | 14.23 |
| 4 | 0.01 |
| 5 | 10.30 |
| 6 | 0.00 |
| 7 | 0.00 |
| 8 | 0.00 |
| 9 | 0.00 |